[1]
A plane-wave DFT calculation with PBE was carried out for Tc2PSe after structural relaxation.

```
Tc2PSe
1.0
0.0000 3.0332 3.0332
3.0332 0.0000 3.0332
3.0332 3.0332 0.0000
Tc P Se
2 1 1
direct
0.2500 0.2500 0.2500
0.7500 0.7500 0.7500
0.0000 0.0000 0.0000
0.5000 0.5000 0.5000
```

For the density, the calculation gives 9.10 g/cm³. For the calculated volume, the calculation gives 56 Å³ per cell. The uncorrected energy is -7.460 eV per atom.

***

[2]
A plane-wave DFT calculation with PBE was carried out for Tc2PSe after structural relaxation.

```
Tc2PSe
1.0
1.5102 0.8719 7.4534
-1.5102 0.8719 7.4534
0.0000 -1.7438 7.4534
Tc P Se
2 1 1
direct
0.2437 0.2437 0.2437
0.7563 0.7563 0.7563
0.5000 0.5000 0.5000
0.0000 0.0000 0.0000
```

For the density, the calculation gives 8.63 g/cm³. For the calculated volume, the calculation gives 59 Å³ per cell. The uncorrected energy is -7.438 eV per atom.